Record 1
Density functional theory data (PBE-GGA) for a relaxed structure of Ac2TmThP4.

Calculated values
ΔH_f (0 K), eV per atom: -1.5034

Cell lengths 7.302, 4.237, 7.400 Å; angles 90.00, 109.31, 90.00 degrees
Space group P2/m (No. 10)
Inequivalent atoms, fractional coordinates:
Ac1 0.000 0.000 0.000 x1
Ac2 0.500 0.500 0.000 x1
Tm1 0.000 0.500 0.500 x1
Th1 0.500 0.000 0.500 x1
P1 0.238 0.000 0.725 x2
P2 0.254 0.500 0.273 x2

***

Record 2
Density functional theory data (PBE-GGA) for a relaxed structure of Pm5Cu2Pt.

Calculated values
ΔH_f (0 K), eV per atom: -0.3707

Cell lengths 7.205, 7.205, 15.929 Å; angles 90.00, 90.00, 90.00 degrees
Space group I4/mcm (No. 140)
Inequivalent atoms, fractional coordinates:
Pm1 0.000 0.000 0.000 x4
Pm2 0.172 0.328 0.151 x16
Cu1 0.120 0.380 0.500 x8
Pt1 0.000 0.000 0.250 x4